[1]
The following is a PBE calculation of crystalline ErMnGa6 at its relaxed geometry, from the Alexandria database.

## Properties
DOS(E_F) = 4.6 states/eV per cell

Cell lengths 5.6507, 5.6507, 5.6507 Å; angles 106.17, 106.17, 106.17 degrees
Positions (direct):
Er 0.0000 0.0000 0.0000
Mn 0.5000 0.5000 0.5000
Ga 0.2153 0.2153 0.6306
Ga 0.2153 0.6306 0.2153
Ga 0.3694 0.7847 0.7847
Ga 0.6306 0.2153 0.2153
Ga 0.7847 0.3694 0.7847
Ga 0.7847 0.7847 0.3694

[2]
The following is a PBE calculation of crystalline ErMn4Ga8 at its relaxed geometry, from the Alexandria database.

## Properties
DOS(E_F) = 8.3 states/eV per cell

Cell lengths 6.7155, 6.7155, 6.7155 Å; angles 98.66, 98.66, 134.33 degrees
Positions (direct):
Er 0.0000 0.0000 0.0000
Mn 0.0000 0.0000 0.5000
Mn 0.0000 0.5000 0.0000
Mn 0.5000 0.0000 0.0000
Mn 0.5000 0.5000 0.5000
Ga 0.0000 0.3323 0.3323
Ga 0.0000 0.6677 0.6677
Ga 0.2734 0.5000 0.7734
Ga 0.3323 0.0000 0.3323
Ga 0.5000 0.2734 0.7734
Ga 0.5000 0.7266 0.2266
Ga 0.6677 0.0000 0.6677
Ga 0.7266 0.5000 0.2266

no.,VASP energy (eV per atom),density (kg/m3)
1,-4.158,6927
2,-5.288,7858